Record 1
DFT (PBE) results for a relaxed structure of SrIn4Sn.

Cell and atoms, written as CIF:
```
data_SrIn4Sn
_chemical_formula_sum 'Sr1 In4 Sn1'
_cell_length_a 5.2946
_cell_length_b 5.2946
_cell_length_c 7.0205
_cell_angle_alpha 90.00
_cell_angle_beta 90.00
_cell_angle_gamma 120.00
_symmetry_space_group_name_H-M 'P 6/m m m'
_symmetry_Int_Tables_number 191
_symmetry_space_group_name_Hall '-P 6 2'
loop_
_atom_site_label
_atom_site_type_symbol
_atom_site_fract_x
_atom_site_fract_y
_atom_site_fract_z
Sr1 Sr 0.0000 0.0000 0.0000
In1 In 0.3333 0.6667 0.2729
Sn1 Sn 0.0000 0.0000 0.5000
```

**VASP energy**: -17.98 eV for the cell shown
**Energy of formation**: -0.22 eV per atom
**Excess energy over the best structure of this formula in the dataset**: 0.0000 eV per atom

***

Record 2
DFT (PBE) results for a relaxed structure of VSnN2.

Cell and atoms, written as CIF:
```
data_VSnN2
_chemical_formula_sum 'V4 Sn4 N8'
_cell_length_a 5.231
_cell_length_b 5.231
_cell_length_c 8.935
_cell_angle_alpha 90.00
_cell_angle_beta 90.00
_cell_angle_gamma 90.00
_symmetry_space_group_name_H-M 'I -4 2 d'
_symmetry_Int_Tables_number 122
_symmetry_space_group_name_Hall 'I -4 2bw'
loop_
_atom_site_label
_atom_site_type_symbol
_atom_site_fract_x
_atom_site_fract_y
_atom_site_fract_z
V1 V 0.000 0.000 0.000
Sn1 Sn 0.000 0.000 0.500
N1 N 0.127 0.250 0.125
```

**VASP energy**: -122.14 eV for the cell shown
**Formation energy without anion corrections**: -191 meV/atom

***

Record 3
DFT (PBE) results for a relaxed structure of ReBr.

Cell and atoms, written as CIF:
```
data_ReBr
_chemical_formula_sum 'Re6 Br6'
_cell_length_a 7.866
_cell_length_b 5.040
_cell_length_c 6.490
_cell_angle_alpha 90.00
_cell_angle_beta 90.00
_cell_angle_gamma 90.00
_symmetry_space_group_name_H-M 'P m n 21'
_symmetry_Int_Tables_number 31
loop_
_symmetry_equiv_pos_as_xyz
'x,y,z'
'-x+1/2,-y,z+1/2'
'-x,y,z'
'x+1/2,-y,z+1/2'
loop_
_atom_site_label
_atom_site_type_symbol
_atom_site_fract_x
_atom_site_fract_y
_atom_site_fract_z
Re1 Re 0.000 0.139 0.000
Re2 Re 0.249 0.989 0.318
Br1 Br 0.000 0.896 0.549
Br2 Br 0.215 0.487 0.226
```

**VASP energy**: -71.62 eV for the cell shown
**Formation energy without anion corrections**: 1093 meV/atom
**Excess energy over the best structure of this formula in the dataset**: 0.8613 eV per atom

***

Record 4
DFT (PBE) results for a relaxed structure of CuOs2Cl.

Cell and atoms, written as CIF:
```
data_CuOs2Cl
_chemical_formula_sum 'Cu4 Os8 Cl4'
_cell_length_a 6.170
_cell_length_b 6.170
_cell_length_c 6.170
_cell_angle_alpha 90.00
_cell_angle_beta 90.00
_cell_angle_gamma 90.00
_symmetry_space_group_name_H-M 'F -4 3 m'
_symmetry_Int_Tables_number 216
_symmetry_space_group_name_Hall 'F -4 2 3'
loop_
_atom_site_label
_atom_site_type_symbol
_atom_site_fract_x
_atom_site_fract_y
_atom_site_fract_z
Cu1 Cu 0.000 0.000 0.000
Os1 Os 0.000 0.000 0.500
Os2 Os 0.250 0.250 0.250
Cl1 Cl 0.250 0.250 0.750
```

**VASP energy**: -95.58 eV for the cell shown
**Formation energy without anion corrections**: 1127 meV/atom
**Excess energy over the best structure of this formula in the dataset**: 0.7776 eV per atom

***

Record 5
DFT (PBE) results for a relaxed structure of HoPa2B6.

Cell and atoms, written as CIF:
```
data_HoPa2B6
_chemical_formula_sum 'Ho1 Pa2 B6'
_cell_length_a 5.5868
_cell_length_b 5.5868
_cell_length_c 4.0108
_cell_angle_alpha 90.00
_cell_angle_beta 90.00
_cell_angle_gamma 120.00
_symmetry_space_group_name_H-M 'P 6/m m m'
_symmetry_Int_Tables_number 191
_symmetry_space_group_name_Hall '-P 6 2'
loop_
_atom_site_label
_atom_site_type_symbol
_atom_site_fract_x
_atom_site_fract_y
_atom_site_fract_z
Ho1 Ho 0.0000 0.0000 0.0000
Pa1 Pa 0.3333 0.6667 0.0000
B1 B 0.0000 0.3353 0.5000
```

**VASP energy**: -68.99 eV for the cell shown
**Energy of formation**: -0.59 eV per atom

***

Question: Among the records above, which one has the highest VASP energy?
Answer: SrIn4Sn